The following is a DFT calculation (PBE) of a relaxed K2HgOs crystal.

Cell: 6.604 6.604 6.280 Å, 74.66 74.66 24.81°
Positions (direct):
Hg  0.206  0.206  0.226
Os  0.539  0.539  0.532
K  0.974  0.974  0.064
K  0.781  0.781  0.678

Properties
ΔE_f: 0.845 eV/atom
Theoretical density: 7.04 g/cm3


The following is a DFT calculation (PBE) of a relaxed K2HgOs crystal.

Cell: 6.469 6.469 6.469 Å, 151.68 133.67 55.19°
Positions (direct):
K  0.993  0.993  0.000
K  0.507  0.507  0.000
Hg  0.250  0.750  0.500
Os  0.750  0.250  0.500

Properties
ΔE_f: 1.049 eV/atom
Theoretical density: 8.44 g/cm3


The following is a DFT calculation (PBE) of a relaxed KHg3Os crystal.

Cell: 6.278 6.278 6.278 Å, 90.00 90.00 90.00°
Positions (direct):
Os  0.500  0.500  0.500
Hg  0.500  0.000  0.000
Hg  0.000  0.500  0.000
Hg  0.000  0.000  0.500
K  0.000  0.000  0.000

Properties
ΔE_f: 1.568 eV/atom
Theoretical density: 5.58 g/cm3
E above lowest polymorph: 122.40 kJ/mol of atoms


The following is a DFT calculation (PBE) of a relaxed KReHg2Os crystal.

Cell: 5.300 5.972 5.300 Å, 90.00 90.00 90.00°
Positions (direct):
Hg  0.000  0.000  0.500
Hg  0.500  0.000  0.000
Re  0.000  0.000  0.000
K  0.000  0.500  0.000
Os  0.500  0.500  0.500

Properties
ΔE_f: 2.248 eV/atom
Theoretical density: 8.08 g/cm3